The following is a GGA-PBE calculation of a relaxed structure of ErTm2Al3Cu2Pd, from OQMD via LeMat-Bulk.

abc: 4.038 6.975 6.975
angles: 120.00 90.00 90.00
Atoms (fractional coordinates):
Al 0.500 0.000 0.240
Al 0.500 0.760 0.760
Al 0.500 0.240 0.000
Cu 0.500 0.668 0.333
Cu 0.500 0.333 0.668
Er 0.000 0.418 0.418
Pd 0.000 0.999 0.999
Tm 0.000 0.583 0.000
Tm 0.000 0.000 0.583

Calculated values
Mass density, kg/m³: 7998
E_tot, eV per atom: -4.744
Total magnetization, μB per cell: 0.01



The following is a GGA-PBE calculation of a relaxed structure of NbFeNiSn, from OQMD via LeMat-Bulk.

abc: 4.448 4.448 4.448
angles: 60.00 60.00 60.00
Atoms (fractional coordinates):
Fe 0.500 0.500 0.500
Nb 0.250 0.250 0.250
Ni 0.750 0.750 0.750
Sn 0.000 0.000 0.000

Calculated values
Mass density, kg/m³: 8702
E_tot, eV per atom: -6.904
Energy relative to the lowest polymorph listed for this composition, meV per atom: 201.4
Total magnetization, μB per cell: 2.05



> Look up the E_tot of the second one.

-6.904 eV per atom